1.
Compound: CaNiSe2
Source: Alexandria
Functional: PBE
Structure: optimized geometry

Total DFT energy (no corrections): -0.154 Ha/atom
E_form (uncorrected): -47.5 kJ/mol of atoms
V: 81.3 Å³ per cell

```
4
Lattice="-3.793 2.672 3.866 -6.031 -0.222 -0.240 4.932 -3.478 -0.237" Properties=species:S:1:pos:R:3 pbc="T T T"
Ca -4.912 1.225 1.813
Se -3.005 -1.237 0.668
Ni -1.887 0.209 2.721
Se 0.000 0.000 0.000
```

***

2.
Compound: CaNiSe2
Source: Alexandria
Functional: PBE
Structure: optimized geometry

Total DFT energy (no corrections): -0.164 Ha/atom
E_form (uncorrected): -74.2 kJ/mol of atoms
V: 87.5 Å³ per cell

```
4
Lattice="-3.010 -1.715 1.764 2.407 -2.627 1.553 0.755 3.417 4.610" Properties=species:S:1:pos:R:3 pbc="T T T"
Ni 0.382 0.922 5.832
Ca 0.295 1.336 1.803
Se 0.666 3.016 4.070
Se -0.059 -1.075 3.138
```

***

3.
Compound: CaNiSe2
Source: Alexandria
Functional: PBE
Structure: optimized geometry

Total DFT energy (no corrections): -0.154 Ha/atom
E_form (uncorrected): -48.7 kJ/mol of atoms
V: 79.7 Å³ per cell

```
4
Lattice="1.812 -2.179 3.913 -1.015 1.708 4.404 -2.911 -2.490 2.944" Properties=species:S:1:pos:R:3 pbc="T T T"
Ca 0.000 0.000 0.000
Ni -1.057 -1.481 5.631
Se -0.528 -0.740 2.815
Se -1.585 -2.221 8.446
```

***

4.
Compound: CaNiSe
Source: Alexandria
Functional: PBE
Structure: optimized geometry

Total DFT energy (no corrections): -0.169 Ha/atom
E_form (uncorrected): -82.4 kJ/mol of atoms
V: 129.4 Å³ per cell

```
6
Lattice="-2.123 -2.899 -2.107 3.405 -3.857 -2.059 -0.323 -2.819 5.326" Properties=species:S:1:pos:R:3 pbc="T T T"
Se -0.181 -5.316 3.669
Se 2.274 -5.180 0.031
Ni -0.428 -2.966 3.475
Ni 0.428 -1.111 0.308
Ca 0.885 -5.201 -2.870
Ca -0.343 -4.050 0.900
```

***

5.
Compound: CaNiSe2
Source: Alexandria
Functional: PBE
Structure: optimized geometry

Total DFT energy (no corrections): -0.172 Ha/atom
E_form (uncorrected): -96.4 kJ/mol of atoms
V: 384.9 Å³ per cell

```
16
Lattice="-0.948 6.708 -4.792 -3.191 1.074 2.135 7.544 1.143 10.701" Properties=species:S:1:pos:R:3 pbc="T T T"
Ca -0.178 5.265 -2.915
Se 3.979 4.290 3.789
Ca 2.756 3.235 6.215
Ca 1.998 6.374 3.503
Se -1.389 4.256 -0.494
Se 2.350 0.824 3.098
Se -1.219 0.660 1.568
Ni 2.558 2.983 2.323
Se 4.526 1.932 9.516
Se 0.450 4.067 2.349
Ni 4.734 4.092 8.741
Ni 5.596 1.895 7.411
Se 4.148 0.694 5.851
Ca 0.580 2.127 -0.203
Se 5.818 4.101 6.632
Ni 0.228 1.861 3.128
```

***

6.
Compound: CaNiSe
Source: Alexandria
Functional: PBE
Structure: optimized geometry

Total DFT energy (no corrections): -0.170 Ha/atom
E_form (uncorrected): -83.0 kJ/mol of atoms
V: 125.6 Å³ per cell

```
6
Lattice="-1.147 3.080 -2.269 -3.928 -0.911 0.741 0.791 4.727 6.030" Properties=species:S:1:pos:R:3 pbc="T T T"
Ca -1.022 2.519 2.044
Ni -3.562 2.872 0.287
Ca -2.585 4.429 5.432
Ni -3.554 4.336 2.271
Se -1.615 2.725 -0.889
Se -1.573 5.391 2.708
```

***

7.
Compound: CaNiSe
Source: Alexandria
Functional: PBE
Structure: optimized geometry

Total DFT energy (no corrections): -0.157 Ha/atom
E_form (uncorrected): -50.5 kJ/mol of atoms
V: 62.6 Å³ per cell

```
3
Lattice="-2.209 -4.338 0.846 3.104 -3.799 -0.590 0.258 4.230 2.540" Properties=species:S:1:pos:R:3 pbc="T T T"
Ni 0.326 -2.965 0.093
Ca 0.889 -8.087 0.255
Se 0.574 -5.221 0.165
```

***

8.
Compound: CaNiSe2
Source: Alexandria
Functional: PBE
Structure: optimized geometry

Total DFT energy (no corrections): -0.168 Ha/atom
E_form (uncorrected): -85.1 kJ/mol of atoms
V: 83.8 Å³ per cell

```
4
Lattice="3.934 -0.016 0.009 1.980 3.400 0.009 1.955 1.118 6.256" Properties=species:S:1:pos:R:3 pbc="T T T"
Ni 1.967 1.126 1.568
Ca 5.902 3.377 4.705
Se 5.913 3.383 0.296
Se 3.935 2.251 2.858
```

***

9.
Compound: CaNiSe2
Source: Alexandria
Functional: PBE
Structure: optimized geometry

Total DFT energy (no corrections): -0.152 Ha/atom
E_form (uncorrected): -42.3 kJ/mol of atoms
V: 79.3 Å³ per cell

```
4
Lattice="3.401 0.000 0.000 0.000 3.401 0.000 0.000 0.000 6.852" Properties=species:S:1:pos:R:3 pbc="T T T"
Ca 1.701 1.701 1.713
Se 0.000 0.000 6.671
Se 0.000 0.000 3.606
Ni 1.701 1.701 5.139
```

***

10.
Compound: CaNiSe
Source: Alexandria
Functional: PBE
Structure: optimized geometry

Total DFT energy (no corrections): -0.169 Ha/atom
E_form (uncorrected): -82.1 kJ/mol of atoms
V: 128.7 Å³ per cell

```
6
Lattice="-1.297 2.885 -2.818 2.276 -3.799 -2.804 -5.213 -3.089 0.172" Properties=species:S:1:pos:R:3 pbc="T T T"
Ca 1.546 -2.603 -3.415
Se -0.050 0.080 -3.280
Ni -1.150 -1.711 -4.402
Ca -2.140 -2.994 -0.960
Se -1.011 -4.013 -3.607
Ni -3.100 -3.006 -3.776
```

***

11.
Compound: CaNiSe4
Source: Alexandria
Functional: PBE
Structure: optimized geometry

Total DFT energy (no corrections): -0.125 Ha/atom
E_form (uncorrected): 21.7 kJ/mol of atoms
V: 132.6 Å³ per cell

```
6
Lattice="0.000 4.047 4.047 4.047 0.000 4.047 4.047 4.047 0.000" Properties=species:S:1:pos:R:3 pbc="T T T"
Se 5.069 5.069 3.026
Se 5.069 3.026 5.069
Se 3.026 5.069 5.069
Ca 6.071 6.071 6.071
Se 3.026 3.026 3.026
Ni 0.000 0.000 0.000
```

***

12.
Compound: CaNiSe2
Source: Alexandria
Functional: PBE
Structure: optimized geometry

Total DFT energy (no corrections): -0.171 Ha/atom
E_form (uncorrected): -92.6 kJ/mol of atoms
V: 363.5 Å³ per cell

```
16
Lattice="7.211 0.000 -0.005 0.000 4.072 0.000 -0.861 0.000 12.379" Properties=species:S:1:pos:R:3 pbc="T T T"
Ca 5.925 2.036 0.731
Se 6.830 2.036 5.019
Se 0.011 2.036 8.240
Ca 5.494 0.000 6.921
Se 2.284 2.036 11.552
Ni 2.128 0.000 0.161
Se 2.714 0.000 5.362
Se 4.031 0.000 1.700
Se 3.600 2.036 7.889
Ni 0.590 0.000 4.474
Ni 1.697 2.036 6.351
Ni 0.159 2.036 10.663
Ca 2.368 2.036 2.948
Se 0.442 0.000 2.051
Se 6.399 0.000 11.209
Ca 1.938 0.000 9.138
```

***

Q: What is the formula in the first record?
A: CaNiSe2

***

Q: What is the formula in the seventh record?
A: CaNiSe

***

Copy entry 11 word for word.
Compound: CaNiSe4
Source: Alexandria
Functional: PBE
Structure: optimized geometry

Total DFT energy (no corrections): -0.125 Ha/atom
E_form (uncorrected): 21.7 kJ/mol of atoms
V: 132.6 Å³ per cell

```
6
Lattice="0.000 4.047 4.047 4.047 0.000 4.047 4.047 4.047 0.000" Properties=species:S:1:pos:R:3 pbc="T T T"
Se 5.069 5.069 3.026
Se 5.069 3.026 5.069
Se 3.026 5.069 5.069
Ca 6.071 6.071 6.071
Se 3.026 3.026 3.026
Ni 0.000 0.000 0.000
```